No. 1
# Pm4Y3Ho8 PBE optimized geometry
data_Pm4Y3Ho8
_chemical_formula_sum 'Pm12 Y9 Ho24'
_cell_length_a 6.9582
_cell_length_b 6.9582
_cell_length_c 35.4106
_cell_angle_alpha 90.00
_cell_angle_beta 90.00
_cell_angle_gamma 120.00
_symmetry_space_group_name_H-M 'R -3 m'
_symmetry_Int_Tables_number 166
_symmetry_space_group_name_Hall '-R 3 2"'
loop_
_atom_site_label
_atom_site_type_symbol
_atom_site_fract_x
_atom_site_fract_y
_atom_site_fract_z
Pm1 Pm 0.0000 0.0000 0.0000
Pm2 Pm 0.0000 0.0000 0.1632
Pm3 Pm 0.0000 0.0000 0.5000
Y1 Y 0.0000 0.5000 0.0000
Ho1 Ho 0.0000 0.0000 0.2546
Ho2 Ho 0.0017 0.5009 0.2509
# * DFT formation energy: 1.942 eV/f.u.
# * DFT total energy: -4.872 eV per atom
# * D(E_F): 68.415 states/eV/cell



No. 2
# ThSi3Os2 PBE optimized geometry
data_ThSi3Os2
_chemical_formula_sum 'Th4 Si12 Os8'
_cell_length_a 9.3718
_cell_length_b 7.6423
_cell_length_c 5.6376
_cell_angle_alpha 90.00
_cell_angle_beta 90.00
_cell_angle_gamma 90.00
_symmetry_space_group_name_H-M 'C m c m'
_symmetry_Int_Tables_number 63
_symmetry_space_group_name_Hall '-C 2c 2'
loop_
_atom_site_label
_atom_site_type_symbol
_atom_site_fract_x
_atom_site_fract_y
_atom_site_fract_z
Th1 Th 0.0000 0.1621 0.2500
Si1 Si 0.0000 0.4475 0.7500
Si2 Si 0.1714 0.2156 0.7500
Os1 Os 0.2102 0.5000 0.0000
# * DFT total energy: -8.173 eV per atom
# * D(E_F): 13.348 states/eV/cell



No. 3
# LiZrO2 PBE optimized geometry
data_LiZrO2
_chemical_formula_sum 'Li4 Zr4 O8'
_cell_length_a 5.4119
_cell_length_b 5.4119
_cell_length_c 5.4119
_cell_angle_alpha 90.00
_cell_angle_beta 90.00
_cell_angle_gamma 90.00
_symmetry_space_group_name_H-M 'F m -3 m'
_symmetry_Int_Tables_number 225
_symmetry_space_group_name_Hall '-F 4 2 3'
loop_
_atom_site_label
_atom_site_type_symbol
_atom_site_fract_x
_atom_site_fract_y
_atom_site_fract_z
Li1 Li 0.0000 0.0000 0.0000
Zr1 Zr 0.0000 0.0000 0.5000
O1 O 0.2500 0.2500 0.2500
# * DFT total energy: -7.145 eV per atom
# * D(E_F): 15.691 states/eV/cell



No. 4
# Pm12PrHo2 PBE optimized geometry
data_Pm12PrHo2
_chemical_formula_sum 'Pm24 Pr2 Ho4'
_cell_length_a 6.5185
_cell_length_b 6.5185
_cell_length_c 25.5561
_cell_angle_alpha 90.00
_cell_angle_beta 90.00
_cell_angle_gamma 90.00
_symmetry_space_group_name_H-M 'P 4/n b m'
_symmetry_Int_Tables_number 125
loop_
_symmetry_equiv_pos_as_xyz
'x,y,z'
'-x,-y,-z'
'-y+1/2,x,z'
'y+1/2,-x,-z'
'-x+1/2,-y+1/2,z'
'x+1/2,y+1/2,-z'
'y,-x+1/2,z'
'-y,x+1/2,-z'
'x,-y+1/2,-z'
'-x,y+1/2,z'
'-y+1/2,-x+1/2,-z'
'y+1/2,x+1/2,z'
'-x+1/2,y,-z'
'x+1/2,-y,z'
'y,x,-z'
'-y,-x,z'
loop_
_atom_site_label
_atom_site_type_symbol
_atom_site_fract_x
_atom_site_fract_y
_atom_site_fract_z
Pm1 Pm 0.0673 0.5673 0.1165
Pm2 Pm 0.0820 0.5820 0.4380
Pm3 Pm 0.2500 0.2500 0.2170
Pm4 Pm 0.2500 0.2500 0.3381
Pr1 Pr 0.2500 0.7500 0.0000
Ho1 Ho 0.2500 0.7500 0.2740
# * DFT formation energy: 4.588 eV/f.u.
# * DFT total energy: -4.424 eV per atom
# * D(E_F): 35.887 states/eV/cell



No. 5
# ZnCdInS2 PBE optimized geometry
data_ZnCdInS2
_chemical_formula_sum 'Zn1 Cd1 In1 S2'
_cell_length_a 4.9537
_cell_length_b 4.9537
_cell_length_c 6.0078
_cell_angle_alpha 90.00
_cell_angle_beta 90.00
_cell_angle_gamma 90.00
_symmetry_space_group_name_H-M 'P 4/m m m'
_symmetry_Int_Tables_number 123
_symmetry_space_group_name_Hall '-P 4 2'
loop_
_atom_site_label
_atom_site_type_symbol
_atom_site_fract_x
_atom_site_fract_y
_atom_site_fract_z
Zn1 Zn 0.0000 0.0000 0.0000
Cd1 Cd 0.5000 0.5000 0.5000
In1 In 0.5000 0.5000 0.0000
S1 S 0.0000 0.5000 0.5000
# * DFT total energy: -2.202 eV per atom
# * D(E_F): 2.506 states/eV/cell



No. 6
# KFeAu3 PBE optimized geometry
data_KFeAu3
_chemical_formula_sum 'K1 Fe1 Au3'
_cell_length_a 5.4931
_cell_length_b 5.4931
_cell_length_c 5.4931
_cell_angle_alpha 90.00
_cell_angle_beta 90.00
_cell_angle_gamma 90.00
_symmetry_space_group_name_H-M 'P m -3 m'
_symmetry_Int_Tables_number 221
_symmetry_space_group_name_Hall '-P 4 2 3'
loop_
_atom_site_label
_atom_site_type_symbol
_atom_site_fract_x
_atom_site_fract_y
_atom_site_fract_z
K1 K 0.0000 0.0000 0.0000
Fe1 Fe 0.5000 0.5000 0.5000
Au1 Au 0.0000 0.0000 0.5000
# * DFT formation energy: 8.241 eV/f.u.
# * DFT total energy: -2.230 eV per atom
# * relative energy among the computed polymorphs: 1452 meV/atom
# * D(E_F): 12.580 states/eV/cell



No. 7
# PmNbSn PBE optimized geometry
data_PmNbSn
_chemical_formula_sum 'Pm2 Nb2 Sn2'
_cell_length_a 4.2391
_cell_length_b 4.2391
_cell_length_c 8.4225
_cell_angle_alpha 90.00
_cell_angle_beta 90.00
_cell_angle_gamma 90.00
_symmetry_space_group_name_H-M 'P 4/n m m'
_symmetry_Int_Tables_number 129
loop_
_symmetry_equiv_pos_as_xyz
'x,y,z'
'-x,-y,-z'
'-y+1/2,x,z'
'y+1/2,-x,-z'
'-x+1/2,-y+1/2,z'
'x+1/2,y+1/2,-z'
'y,-x+1/2,z'
'-y,x+1/2,-z'
'x+1/2,-y,-z'
'-x+1/2,y,z'
'-y,-x,-z'
'y,x,z'
'-x,y+1/2,-z'
'x,-y+1/2,z'
'y+1/2,x+1/2,-z'
'-y+1/2,-x+1/2,z'
loop_
_atom_site_label
_atom_site_type_symbol
_atom_site_fract_x
_atom_site_fract_y
_atom_site_fract_z
Pm1 Pm 0.2500 0.2500 0.1473
Nb1 Nb 0.2500 0.7500 0.5000
Sn1 Sn 0.2500 0.2500 0.7418
# * DFT formation energy: -1.279 eV/f.u.
# * DFT total energy: -6.701 eV per atom
# * D(E_F): 3.367 states/eV/cell



No. 8
# TbPmGa PBE optimized geometry
data_TbPmGa
_chemical_formula_sum 'Tb1 Pm1 Ga1'
_cell_length_a 5.0089
_cell_length_b 5.0089
_cell_length_c 3.7509
_cell_angle_alpha 90.00
_cell_angle_beta 90.00
_cell_angle_gamma 120.00
_symmetry_space_group_name_H-M 'P 3 m 1'
_symmetry_Int_Tables_number 156
loop_
_symmetry_equiv_pos_as_xyz
'x,y,z'
'-y,x-y,z'
'-x+y,-x,z'
'-y,-x,z'
'-x+y,y,z'
'x,x-y,z'
loop_
_atom_site_label
_atom_site_type_symbol
_atom_site_fract_x
_atom_site_fract_y
_atom_site_fract_z
Tb1 Tb 0.0000 0.0000 0.0000
Pm1 Pm 0.3333 0.6667 0.4550
Ga1 Ga 0.6667 0.3333 0.7775
# * DFT formation energy: -0.827 eV/f.u.
# * DFT total energy: -4.412 eV per atom
# * relative energy among the computed polymorphs: 108 meV/atom
# * D(E_F): 1.363 states/eV/cell



No. 9
# CsBi2Sb2Au6 PBE optimized geometry
data_CsBi2Sb2Au6
_chemical_formula_sum 'Cs1 Bi2 Sb2 Au6'
_cell_length_a 7.8119
_cell_length_b 7.8678
_cell_length_c 8.5844
_cell_angle_alpha 64.86
_cell_angle_beta 65.58
_cell_angle_gamma 61.95
_symmetry_space_group_name_H-M 'P -1'
_symmetry_Int_Tables_number 2
loop_
_symmetry_equiv_pos_as_xyz
'x,y,z'
'-x,-y,-z'
loop_
_atom_site_label
_atom_site_type_symbol
_atom_site_fract_x
_atom_site_fract_y
_atom_site_fract_z
Cs1 Cs 0.0000 0.0000 0.0000
Bi1 Bi 0.2894 0.2822 0.1730
Sb1 Sb 0.3811 0.3922 0.5279
Au1 Au 0.1202 0.4946 0.8298
Au2 Au 0.4878 0.1247 0.8305
Au3 Au 0.4956 0.4937 0.8377
# * DFT total energy: -3.382 eV per atom
# * D(E_F): 3.545 states/eV/cell



No. 10
# LaPm2PrIn4 PBE optimized geometry
data_LaPm2PrIn4
_chemical_formula_sum 'La3 Pm6 Pr3 In12'
_cell_length_a 5.4971
_cell_length_b 5.4971
_cell_length_c 26.9736
_cell_angle_alpha 90.00
_cell_angle_beta 90.00
_cell_angle_gamma 120.00
_symmetry_space_group_name_H-M 'R -3 m'
_symmetry_Int_Tables_number 166
_symmetry_space_group_name_Hall '-R 3 2"'
loop_
_atom_site_label
_atom_site_type_symbol
_atom_site_fract_x
_atom_site_fract_y
_atom_site_fract_z
La1 La 0.0000 0.0000 0.0000
Pm1 Pm 0.0000 0.0000 0.2500
Pr1 Pr 0.0000 0.0000 0.5000
In1 In 0.0000 0.0000 0.1256
In2 In 0.0000 0.0000 0.3755
# * DFT formation energy: -3.987 eV/f.u.
# * DFT total energy: -4.269 eV per atom
# * D(E_F): 11.221 states/eV/cell



No. 11
# Tb2Sm2In PBE optimized geometry
data_Tb2Sm2In
_chemical_formula_sum 'Tb4 Sm4 In2'
_cell_length_a 4.3765
_cell_length_b 4.3765
_cell_length_c 17.3759
_cell_angle_alpha 90.00
_cell_angle_beta 90.00
_cell_angle_gamma 90.00
_symmetry_space_group_name_H-M 'I 4/m m m'
_symmetry_Int_Tables_number 139
_symmetry_space_group_name_Hall '-I 4 2'
loop_
_atom_site_label
_atom_site_type_symbol
_atom_site_fract_x
_atom_site_fract_y
_atom_site_fract_z
Tb1 Tb 0.0000 0.0000 0.0872
Sm1 Sm 0.0000 0.5000 0.2500
In1 In 0.0000 0.0000 0.5000
# * DFT formation energy: 1.464 eV/f.u.
# * DFT total energy: -3.995 eV per atom
# * relative energy among the computed polymorphs: 270 meV/atom
# * D(E_F): 15.155 states/eV/cell



No. 12
# Ac9Nd2Er PBE optimized geometry
data_Ac9Nd2Er
_chemical_formula_sum 'Ac9 Nd2 Er1'
_cell_length_a 5.5099
_cell_length_b 5.5099
_cell_length_c 16.5605
_cell_angle_alpha 90.00
_cell_angle_beta 90.00
_cell_angle_gamma 90.00
_symmetry_space_group_name_H-M 'P 4/m m m'
_symmetry_Int_Tables_number 123
_symmetry_space_group_name_Hall '-P 4 2'
loop_
_atom_site_label
_atom_site_type_symbol
_atom_site_fract_x
_atom_site_fract_y
_atom_site_fract_z
Ac1 Ac 0.0000 0.0000 0.0000
Ac2 Ac 0.0000 0.0000 0.3324
Ac3 Ac 0.0000 0.5000 0.1648
Ac4 Ac 0.0000 0.5000 0.5000
Nd1 Nd 0.5000 0.5000 0.3322
Er1 Er 0.5000 0.5000 0.0000
# * DFT formation energy: 0.330 eV/f.u.
# * DFT total energy: -4.229 eV per atom
# * D(E_F): 19.382 states/eV/cell